# PBE-GGA La6GeSe12, relaxed
data_La6GeSe12
_chemical_formula_sum 'La18 Ge3 Se36'
_cell_length_a 12.5780
_cell_length_b 12.5780
_cell_length_c 12.7531
_cell_angle_alpha 90.00
_cell_angle_beta 90.00
_cell_angle_gamma 120.00
_symmetry_space_group_name_H-M 'R -3'
_symmetry_Int_Tables_number 148
_symmetry_space_group_name_Hall '-R 3'
loop_
_atom_site_label
_atom_site_type_symbol
_atom_site_fract_x
_atom_site_fract_y
_atom_site_fract_z
_atom_site_occupancy
La1 La 0.0430 0.7691 0.1278 1
Ge1 Ge 0.0000 0.0000 0.5000 1
Se1 Se 0.0322 0.8153 0.8996 1
Se2 Se 0.0899 0.8711 0.3758 1
# Magnetization   0.000 μB per formula unit

# PBE-GGA Ba3In5I12, relaxed
data_Ba3In5I12
_chemical_formula_sum 'Ba24 In40 I96'
_cell_length_a 20.102
_cell_length_b 20.102
_cell_length_c 20.102
_cell_angle_alpha 90.00
_cell_angle_beta 90.00
_cell_angle_gamma 90.00
_symmetry_space_group_name_H-M 'I a -3 d'
_symmetry_Int_Tables_number 230
_symmetry_space_group_name_Hall '-I 4bd 2c 3'
loop_
_atom_site_label
_atom_site_type_symbol
_atom_site_fract_x
_atom_site_fract_y
_atom_site_fract_z
_atom_site_occupancy
Ba1 Ba 0.000 0.250 0.125 1
In1 In 0.000 0.000 0.000 1
In2 In 0.000 0.250 0.375 1
I1 I 0.018 0.069 0.653 1
# Magnetization   0.000 μB per formula unit

Raw formation energy values, unit eV per formula unit, following the record order: -29.26, -19.31.
D(E_F) values, unit states/eV/atom, following the record order: 0.333, 0.670.